[1]
Here is crystalline Nb2CoMo at its relaxed geometry from the Alexandria database. Energies are from PBE.

The calculation puts the total energy at -37.05 eV/f.u. The formation energy comes out at 0.26 eV/atom. As for the volume: 16.34 Å³ per atom. The calculation puts the density of states at the Fermi level at 11.93 states/eV per cell.

The space group is R-3m (No. 166, hexagonal axes) and the conventional cell measures 3.0875, 3.0875 and 23.7563 Å, with angles of 90.00, 90.00 and 120.00 degrees. Symmetry generates all atoms from Nb at (0.0000, 0.0000, 0.2459), Co at (0.0000, 0.0000, 0.5000) and Mo at (0.0000, 0.0000, 0.0000).

[2]
Here is crystalline Nb2CoMo at its relaxed geometry from the Alexandria database. Energies are from PBE.

The calculation puts the total energy at -38.38 eV/f.u. The formation energy comes out at -0.08 eV/atom. As for the volume: 15.86 Å³ per atom. The calculation puts the density of states at the Fermi level at 2.82 states/eV per cell.

The space group is P4/mmm (No. 123) and the conventional cell measures 4.453, 4.453 and 3.199 Å, with angles of 90.00, 90.00 and 90.00 degrees. Symmetry generates all atoms from Nb at (0.000, 0.500, 0.000), Co at (0.000, 0.000, 0.500) and Mo at (0.500, 0.500, 0.500).